Record 1
Density functional theory data (PBE-GGA) for a geometry-optimized Tb2Dy2HoMg structure.

Unit cell a=10.231 b=11.716 c=3.606 alpha=90.00 beta=90.00 gamma=90.00
Atoms (fractional coordinates):
Tb 0.096 0.223 0.000
Tb 0.404 0.723 0.500
Tb 0.596 0.277 0.500
Tb 0.904 0.777 0.000
Dy 0.250 0.429 0.500
Dy 0.250 0.929 0.000
Dy 0.750 0.071 0.000
Dy 0.750 0.571 0.500
Ho 0.000 0.000 0.500
Ho 0.500 0.500 0.000
Mg 0.000 0.500 0.000
Mg 0.500 0.000 0.500

Properties
Electronic total energy (eV/atom): -3.63
E_form (kcal/mol of atoms): 10.9
V (Å³ per cell): 432.28
Density of states at the Fermi level (states/eV per atom): 1.278

***

Record 2
Density functional theory data (PBE-GGA) for a geometry-optimized Pt2SeBr structure.

Unit cell a=4.703 b=4.703 c=4.703 alpha=60.00 beta=60.00 gamma=60.00
Atoms (fractional coordinates):
Pt 0.000 0.000 0.000
Pt 0.250 0.250 0.250
Se 0.750 0.750 0.750
Br 0.500 0.500 0.500

Properties
Electronic total energy (eV/atom): -3.58
V (Å³ per cell): 73.55
Raw formation energy (eV/atom): 0.7297
Energy above the lowest structure with this stoichiometry (eV/f.u.): 3.76
Density of states at the Fermi level (states/eV per atom): 0.893

***

Record 3
Density functional theory data (PBE-GGA) for a geometry-optimized AgSnPb4 structure.

Unit cell a=8.198 b=8.198 c=5.906 alpha=100.20 beta=100.20 gamma=111.55
Atoms (fractional coordinates):
Ag 0.008 0.992 0.750
Ag 0.992 0.008 0.250
Sn 0.383 0.617 0.750
Sn 0.617 0.383 0.250
Pb 0.067 0.700 0.429
Pb 0.209 0.378 0.143
Pb 0.300 0.933 0.071
Pb 0.378 0.209 0.643
Pb 0.622 0.791 0.357
Pb 0.700 0.067 0.929
Pb 0.791 0.622 0.857
Pb 0.933 0.300 0.571

Properties
Electronic total energy (eV/atom): -3.56
E_form (kcal/mol of atoms): 1.4
V (Å³ per cell): 350.42
Density of states at the Fermi level (states/eV per atom): 0.374

***

Record 4
Density functional theory data (PBE-GGA) for a geometry-optimized Fe2NiPb structure.

Unit cell a=4.503 b=4.503 c=4.698 alpha=104.80 beta=104.80 gamma=41.23
Atoms (fractional coordinates):
Fe 0.000 0.000 0.000
Fe 0.732 0.732 0.188
Ni 0.468 0.468 0.403
Pb 0.230 0.230 0.686

Properties
Electronic total energy (eV/atom): -6.22
E_form (kcal/mol of atoms): 8.9
V (Å³ per cell): 60.38
Density of states at the Fermi level (states/eV per atom): 0.800

***

Record 5
Density functional theory data (PBE-GGA) for a geometry-optimized Nd6P3S2I structure.

Unit cell a=9.427 b=9.427 c=8.505 alpha=103.97 beta=103.97 gamma=25.48
Atoms (fractional coordinates):
Nd 0.001 0.001 0.216
Nd 0.320 0.320 0.416
Nd 0.335 0.335 0.911
Nd 0.665 0.665 0.089
Nd 0.680 0.680 0.584
Nd 0.999 0.999 0.784
P 0.163 0.163 0.333
P 0.500 0.500 0.000
P 0.837 0.837 0.667
S 0.167 0.167 0.833
S 0.833 0.833 0.167
I 0.500 0.500 0.500

Properties
Electronic total energy (eV/atom): -6.20
V (Å³ per cell): 315.05
Raw formation energy (eV/atom): -1.6427
Density of states at the Fermi level (states/eV per atom): 0.386

***

Record 6
Density functional theory data (PBE-GGA) for a geometry-optimized Ac2LaCuS5 structure.

Unit cell a=8.796 b=8.796 c=12.558 alpha=90.00 beta=90.00 gamma=152.87
Atoms (fractional coordinates):
Ac 0.113 0.887 0.500
Ac 0.122 0.878 0.154
Ac 0.878 0.122 0.654
Ac 0.887 0.113 0.000
La 0.176 0.824 0.835
La 0.824 0.176 0.335
Cu 0.453 0.547 0.226
Cu 0.547 0.453 0.726
S 0.013 0.987 0.809
S 0.298 0.702 0.495
S 0.319 0.681 0.172
S 0.344 0.656 0.827
S 0.491 0.509 0.558
S 0.509 0.491 0.058
S 0.656 0.344 0.327
S 0.681 0.319 0.672
S 0.702 0.298 0.995
S 0.987 0.013 0.309

Properties
Electronic total energy (eV/atom): -6.07
V (Å³ per cell): 443.01
Raw formation energy (eV/atom): -1.8580
Density of states at the Fermi level (states/eV per atom): 0.034

***

Record 7
Density functional theory data (PBE-GGA) for a geometry-optimized AlHSe2N structure.

Unit cell a=3.699 b=3.699 c=5.991 alpha=90.00 beta=90.00 gamma=90.00
Atoms (fractional coordinates):
Al 0.000 0.000 0.000
H 0.500 0.500 0.500
Se 0.000 0.500 0.500
Se 0.500 0.000 0.500
N 0.500 0.500 0.000

Properties
Electronic total energy (eV/atom): -3.32
V (Å³ per cell): 81.99
Energy above the lowest structure with this stoichiometry (eV/f.u.): 1.35
Density of states at the Fermi level (states/eV per atom): 0.435

***

Record 8
Density functional theory data (PBE-GGA) for a geometry-optimized RbSiC3 structure.

Unit cell a=3.996 b=3.996 c=3.996 alpha=90.00 beta=90.00 gamma=90.00
Atoms (fractional coordinates):
Rb 0.000 0.000 0.000
Si 0.500 0.500 0.500
C 0.000 0.500 0.500
C 0.500 0.000 0.500
C 0.500 0.500 0.000

Properties
Electronic total energy (eV/atom): -4.70
V (Å³ per cell): 63.81
Raw formation energy (eV/atom): 2.1151
Energy above the lowest structure with this stoichiometry (eV/f.u.): 0.00
Density of states at the Fermi level (states/eV per atom): 0.605

***

Record 9
Density functional theory data (PBE-GGA) for a geometry-optimized CdNiPd2N structure.

Unit cell a=4.338 b=4.338 c=3.670 alpha=90.00 beta=90.00 gamma=90.00
Atoms (fractional coordinates):
Cd 0.000 0.000 0.000
Ni 0.500 0.500 0.000
Pd 0.000 0.500 0.500
Pd 0.500 0.000 0.500
N 0.500 0.500 0.500

Properties
Electronic total energy (eV/atom): -5.11
V (Å³ per cell): 69.06
Raw formation energy (eV/atom): -0.0249
Density of states at the Fermi level (states/eV per atom): 0.849

***

Record 10
Density functional theory data (PBE-GGA) for a geometry-optimized TbPr4Nd3 structure.

Unit cell a=11.947 b=7.431 c=6.420 alpha=90.00 beta=90.00 gamma=90.00
Atoms (fractional coordinates):
Tb 0.000 0.123 0.000
Tb 0.500 0.877 0.500
Pr 0.000 0.374 0.502
Pr 0.000 0.626 0.999
Pr 0.248 0.373 0.166
Pr 0.252 0.627 0.666
Pr 0.500 0.374 0.499
Pr 0.500 0.626 0.002
Pr 0.748 0.627 0.666
Pr 0.752 0.373 0.166
Nd 0.000 0.876 0.499
Nd 0.250 0.123 0.667
Nd 0.250 0.877 0.167
Nd 0.500 0.124 0.999
Nd 0.750 0.123 0.667
Nd 0.750 0.877 0.167

Properties
Electronic total energy (eV/atom): -4.72
E_form (kcal/mol of atoms): 0.8
V (Å³ per cell): 569.96
Energy above the lowest structure with this stoichiometry (eV/f.u.): 0.16
Density of states at the Fermi level (states/eV per atom): 1.742

***

Record 11
Density functional theory data (PBE-GGA) for a geometry-optimized KCdGaBi structure.

Unit cell a=4.938 b=4.938 c=11.048 alpha=90.00 beta=90.00 gamma=90.00
Atoms (fractional coordinates):
K 0.250 0.250 0.249
K 0.750 0.750 0.751
Cd 0.250 0.750 0.500
Cd 0.750 0.250 0.500
Ga 0.250 0.750 0.000
Ga 0.750 0.250 0.000
Bi 0.250 0.250 0.854
Bi 0.750 0.750 0.146

Properties
Electronic total energy (eV/atom): -2.34
E_form (kcal/mol of atoms): -2.4
V (Å³ per cell): 269.39
Energy above the lowest structure with this stoichiometry (eV/f.u.): 0.00
Density of states at the Fermi level (states/eV per atom): 0.338

***

Record 12
Density functional theory data (PBE-GGA) for a geometry-optimized TiIrS2 structure.

Unit cell a=7.723 b=7.723 c=7.723 alpha=146.93 beta=146.93 gamma=47.46
Atoms (fractional coordinates):
Ti 0.000 0.000 0.000
Ti 0.750 0.250 0.500
Ir 0.250 0.750 0.500
Ir 0.500 0.500 0.000
S 0.133 0.625 0.008
S 0.375 0.383 0.508
S 0.617 0.125 0.992
S 0.875 0.867 0.492

Properties
Electronic total energy (eV/atom): -6.81
V (Å³ per cell): 136.57
Raw formation energy (eV/atom): -0.5532
Energy above the lowest structure with this stoichiometry (eV/f.u.): 0.24
Density of states at the Fermi level (states/eV per atom): 1.020

***

Record 13
Density functional theory data (PBE-GGA) for a geometry-optimized BaBiCl2 structure.

Unit cell a=5.666 b=5.666 c=5.666 alpha=60.00 beta=60.00 gamma=60.00
Atoms (fractional coordinates):
Ba 0.000 0.000 0.000
Bi 0.500 0.500 0.500
Cl 0.250 0.250 0.250
Cl 0.750 0.750 0.750

Properties
Electronic total energy (eV/atom): -3.48
V (Å³ per cell): 128.64
Raw formation energy (eV/atom): -1.1050
Energy above the lowest structure with this stoichiometry (eV/f.u.): 0.68
Density of states at the Fermi level (states/eV per atom): 0.290

***

Record 14
Density functional theory data (PBE-GGA) for a geometry-optimized MnCr3Rh4 structure.

Unit cell a=7.815 b=7.815 c=7.815 alpha=151.83 beta=151.83 gamma=40.26
Atoms (fractional coordinates):
Mn 0.000 0.000 0.000
Cr 0.249 0.249 0.000
Cr 0.500 0.500 0.000
Cr 0.751 0.751 0.000
Rh 0.130 0.630 0.500
Rh 0.370 0.870 0.500
Rh 0.630 0.130 0.500
Rh 0.870 0.370 0.500

Properties
Electronic total energy (eV/atom): -8.55
E_form (kcal/mol of atoms): -2.7
V (Å³ per cell): 106.16
Density of states at the Fermi level (states/eV per atom): 0.863

***

Record 15
Density functional theory data (PBE-GGA) for a geometry-optimized AgHgW2 structure.

Unit cell a=5.310 b=5.310 c=2.771 alpha=90.00 beta=90.00 gamma=117.53
Atoms (fractional coordinates):
Ag 0.000 0.000 0.000
Hg 0.500 0.500 0.000
W 0.000 0.500 0.500
W 0.500 0.000 0.500

Properties
Electronic total energy (eV/atom): -6.50
E_form (kcal/mol of atoms): 17.7
V (Å³ per cell): 69.27
Density of states at the Fermi level (states/eV per atom): 0.265

***

Record 16
Density functional theory data (PBE-GGA) for a geometry-optimized KNaICl structure.

Unit cell a=4.500 b=4.500 c=6.843 alpha=90.00 beta=90.00 gamma=90.00
Atoms (fractional coordinates):
K 0.000 0.000 0.000
Na 0.500 0.500 0.500
I 0.000 0.000 0.500
Cl 0.500 0.500 0.000

Properties
Electronic total energy (eV/atom): -3.02
V (Å³ per cell): 138.55
Raw formation energy (eV/atom): -1.5706
Energy above the lowest structure with this stoichiometry (eV/f.u.): 0.00
Density of states at the Fermi level (states/eV per atom): 0.000

***

Record 17
Density functional theory data (PBE-GGA) for a geometry-optimized NaCdInHg2 structure.

Unit cell a=5.144 b=5.144 c=6.116 alpha=90.00 beta=90.00 gamma=120.00
Atoms (fractional coordinates):
Na 0.000 0.000 0.000
Cd 0.333 0.667 0.710
In 0.667 0.333 0.304
Hg 0.333 0.667 0.223
Hg 0.667 0.333 0.791

Properties
Electronic total energy (eV/atom): -1.21
E_form (kcal/mol of atoms): -2.1
V (Å³ per cell): 140.17
Density of states at the Fermi level (states/eV per atom): 0.456

***

Record 18
Density functional theory data (PBE-GGA) for a geometry-optimized Ti4PbSe structure.

Unit cell a=7.304 b=7.304 c=6.624 alpha=102.88 beta=102.88 gamma=41.98
Atoms (fractional coordinates):
Ti 0.023 0.825 0.568
Ti 0.175 0.977 0.932
Ti 0.180 0.462 0.871
Ti 0.462 0.180 0.371
Ti 0.538 0.820 0.629
Ti 0.820 0.538 0.129
Ti 0.825 0.023 0.068
Ti 0.977 0.175 0.432
Pb 0.391 0.609 0.250
Pb 0.609 0.391 0.750
Se 0.000 0.500 0.500
Se 0.500 0.000 0.000

Properties
Electronic total energy (eV/atom): -6.65
V (Å³ per cell): 229.51
Raw formation energy (eV/atom): -0.1917
Density of states at the Fermi level (states/eV per atom): 0.841

***

Record 19
Density functional theory data (PBE-GGA) for a geometry-optimized Th2TlPt structure.

Unit cell a=3.479 b=3.479 c=8.754 alpha=90.00 beta=90.00 gamma=90.00
Atoms (fractional coordinates):
Th 0.000 0.000 0.217
Th 0.000 0.000 0.783
Tl 0.500 0.500 0.500
Pt 0.500 0.500 0.000

Properties
Electronic total energy (eV/atom): -6.40
E_form (kcal/mol of atoms): -13.6
V (Å³ per cell): 105.98
Energy above the lowest structure with this stoichiometry (eV/f.u.): 0.00
Density of states at the Fermi level (states/eV per atom): 1.320

***

Record 20
Density functional theory data (PBE-GGA) for a geometry-optimized Tl3Fe structure.

Unit cell a=5.766 b=5.766 c=5.766 alpha=133.52 beta=133.52 gamma=67.84
Atoms (fractional coordinates):
Tl 0.000 0.000 0.000
Tl 0.250 0.750 0.500
Tl 0.750 0.250 0.500
Fe 0.500 0.500 0.000

Properties
Electronic total energy (eV/atom): -3.32
E_form (kcal/mol of atoms): 13.2
V (Å³ per cell): 99.09
Density of states at the Fermi level (states/eV per atom): 0.972